NaLi2Hg2: PBEsol geometry, SCAN.

```
NaLi2Hg2
1.0
-2.063 2.063 6.459
2.063 -2.063 6.459
2.063 2.063 -6.459
Na Li Hg
1 2 2
Direct
0.000 0.000 0.000
0.250 0.750 0.500
0.750 0.250 0.500
0.389 0.389 0.000
0.611 0.611 0.000
```

Calculated values
Energy, eV/cell: -146.996
Energy relative to the lowest polymorph listed for this composition, meV/atom: 22.5
DOS(E_F), states/eV per cell: 1.90
Energy relative to the elements, eV/f.u.: -1.670